<one>
A relaxed CsYHf crystal. Source: Alexandria, functional PBE.

a b c (Å): 14.8531 6.2884 5.5239
angles (deg): 90.00 90.00 90.00
Closest atoms and distances in Å follow each position.
Space group Pnma (No. 62)
Unique sites:
Cs 0.2356 0.2500 0.0135 (multiplicity 4)  1 Hf 3.71
Y 0.0000 0.0000 0.5000 (multiplicity 4)  2 Y 3.14, 4 Hf 3.18
Hf 0.0138 0.7500 0.0000 (multiplicity 4)  2 Hf 3.17, 4 Y 3.18

**Theoretical density**: 5.2 g/cm3

<two>
A relaxed CsYHf crystal. Source: Alexandria, functional PBE.

a b c (Å): 28.2805 4.6216 4.5107
angles (deg): 90.00 90.60 90.00
Closest atoms and distances in Å follow each position.
Space group C2/m (No. 12)
Unique sites:
Cs 0.1700 0.0000 0.2561 (multiplicity 4)  1 Hf 3.93
Y 0.0491 0.5000 0.7535 (multiplicity 4)  6 Hf 3.23-3.27, 2 Y 3.57-3.58
Hf 0.0310 0.0000 0.2522 (multiplicity 4)  2 Hf 2.85-2.86

**Theoretical density**: 4.5 g/cm3

Which one sits at the top of the stability order? <two> does.

<one>
A relaxed CsYHf crystal. Source: Alexandria, functional PBE.

a b c (Å): 12.9470 3.4341 10.9427
angles (deg): 90.00 90.00 90.00
Closest atoms and distances in Å follow each position.
Space group Pnma (No. 62)
Unique sites:
Cs 0.1504 0.2500 0.0689 (multiplicity 4)  2 Cs 3.43
Y 0.0966 0.2500 0.7128 (multiplicity 4)  3 Hf 3.14-3.17, 2 Y 3.43
Hf 0.0720 0.2500 0.4272 (multiplicity 4)  2 Hf 2.99, 3 Y 3.14-3.17

**Theoretical density**: 5.5 g/cm3

<two>
A relaxed CsYHf crystal. Source: Alexandria, functional PBE.

a b c (Å): 5.4904 5.4903 16.7265
angles (deg): 90.00 90.47 90.00
Closest atoms and distances in Å follow each position.
Space group C2 (No. 5)
Unique sites:
Cs 0.2412 0.0000 0.1389 (multiplicity 4)  4 Cs 3.88
Y 0.2465 0.5013 0.3504 (multiplicity 4)  5 Hf 3.14-3.32
Hf 0.2487 0.0014 0.4616 (multiplicity 4)  4 Hf 3.03, 5 Y 3.14-3.32

**Theoretical density**: 5.3 g/cm3

<three>
A relaxed CsYHf crystal. Source: Alexandria, functional PBE.

a b c (Å): 5.0893 7.0132 13.1744
angles (deg): 90.00 90.00 90.00
Closest atoms and distances in Å follow each position.
Space group Pnma (No. 62)
Unique sites:
Cs 0.2426 0.2500 0.1544 (multiplicity 4)  2 Cs 3.58, 4 Y 3.74-3.77, 2 Hf 3.96
Y 0.2443 0.2500 0.5561 (multiplicity 4)  3 Hf 3.13-3.23
Hf 0.2441 0.2500 0.7933 (multiplicity 4)  2 Hf 2.79

**Theoretical density**: 5.7 g/cm3

Which one sits at the top of the stability order? <two> does.